This record from Alexandria via LeMat-Bulk describes a relaxed LiIn2Sn4 crystal. The functional is PBE.

Calculated values
- V: 367.00 Å³ per cell
- Energy of formation from the pure elements: -0.038 eV per atom

```
data_LiIn2Sn4
_cell_length_a 6.2927
_cell_length_b 6.2955
_cell_length_c 10.0856
_cell_angle_alpha 92.35
_cell_angle_beta 92.37
_cell_angle_gamma 112.91
_space_group_name_H-M_alt 'P 1'
_space_group_IT_number 1
loop_
_space_group_symop_operation_xyz
'x,y,z'
loop_
_atom_site_label
_atom_site_type_symbol
_atom_site_fract_x
_atom_site_fract_y
_atom_site_fract_z
Li1 Li 0.0000 0.0000 0.0000
Li2 Li 0.2737 0.7225 0.5000
In1 In 0.0173 0.4787 0.9592
In2 In 0.2543 0.2362 0.5337
In3 In 0.5145 0.9829 0.0336
In4 In 0.7537 0.7432 0.4583
Sn1 Sn 0.1386 0.8665 0.2505
Sn2 Sn 0.1460 0.8640 0.7515
Sn3 Sn 0.1467 0.3709 0.2480
Sn4 Sn 0.4472 0.3796 0.8461
Sn5 Sn 0.6310 0.5558 0.1403
Sn6 Sn 0.6504 0.8738 0.7476
Sn7 Sn 0.6522 0.1738 0.3470
Sn8 Sn 0.8304 0.3584 0.6409
```

---

This record from Alexandria via LeMat-Bulk describes a relaxed Th2InSiPt6 crystal. The functional is PBE.

Calculated values
- V: 421.09 Å³ per cell
- Formation energy from raw total energies: -0.90 eV per atom

```
data_Th2InSiPt6
_cell_length_a 5.5534
_cell_length_b 8.6616
_cell_length_c 8.7543
_cell_angle_alpha 90.00
_cell_angle_beta 90.00
_cell_angle_gamma 90.00
_space_group_name_H-M_alt 'P m m n'
_space_group_IT_number 59
loop_
_space_group_symop_operation_xyz
'x,y,z'
'-x,-y,-z'
'-x+1/2,-y+1/2,z'
'x+1/2,y+1/2,-z'
'x+1/2,-y,-z'
'-x+1/2,y,z'
'-x,y+1/2,-z'
'x,-y+1/2,z'
loop_
_atom_site_label
_atom_site_type_symbol
_atom_site_fract_x
_atom_site_fract_y
_atom_site_fract_z
Th1 Th 0.2500 0.0102 0.2437
In1 In 0.2500 0.2500 0.7906
Si1 Si 0.2500 0.7500 0.7310
Pt1 Pt 0.0010 0.2500 0.5071
Pt2 Pt 0.0029 0.7500 0.9514
Pt3 Pt 0.2500 0.5020 0.6055
```

---

This record from Alexandria via LeMat-Bulk describes a relaxed LiHoCd crystal. The functional is PBE.

Calculated values
- Offset from the most stable computed form: 0.66 eV per formula unit
- V: 77.43 Å³ per cell
- Energy of formation from the pure elements: 0.064 eV per atom

```
data_LiHoCd
_cell_length_a 3.3543
_cell_length_b 4.2328
_cell_length_c 5.4538
_cell_angle_alpha 90.00
_cell_angle_beta 90.00
_cell_angle_gamma 90.00
_space_group_name_H-M_alt 'P m m m'
_space_group_IT_number 47
loop_
_space_group_symop_operation_xyz
'x,y,z'
'-x,-y,-z'
'-x,-y,z'
'x,y,-z'
'x,-y,-z'
'-x,y,z'
'-x,y,-z'
'x,-y,z'
loop_
_atom_site_label
_atom_site_type_symbol
_atom_site_fract_x
_atom_site_fract_y
_atom_site_fract_z
Li1 Li 0.0000 0.0000 0.0000
Ho1 Ho 0.0000 0.5000 0.5000
Cd1 Cd 0.5000 0.5000 0.0000
```